P | Ce2Ho3Ru4 | PBE-GGA | optimized geometry

Calculated values
calculated density = 9.914 Mg/m³

a = 14.768 Å, b = 9.155 Å, c = 5.883 Å
α = 90.00°, β = 96.56°, γ = 90.00°
Space group C2/c (No. 15)
Symmetry-distinct sites (fractional):
Ce1 0.204 0.109 0.076 x8
Ho1 0.000 0.071 0.250 x4
Ho2 0.099 0.399 0.418 x8
Ru1 0.066 0.274 0.912 x8
Ru2 0.187 0.146 0.584 x8

---

Q | Ce2Ho3Ru4 | PBE-GGA | optimized geometry

Calculated values
calculated density = 9.558 Mg/m³

a = 14.253 Å, b = 10.001 Å, c = 5.889 Å
α = 90.00°, β = 102.50°, γ = 90.00°
Space group C2/c (No. 15)
Symmetry-distinct sites (fractional):
Ce1 0.188 0.102 0.463 x8
Ho1 0.000 0.130 0.750 x4
Ho2 0.095 0.392 0.098 x8
Ru1 0.124 0.316 0.615 x8
Ru2 0.202 0.137 0.991 x8

---

Pick Q: it beats the second-best structure by 4.0 kJ/mol of atoms.

---

P | CeHoS4 | PBE-GGA | optimized geometry

Calculated values
calculated density = 5.184 Mg/m³

a = 4.400 Å, b = 4.400 Å, c = 7.169 Å
α = 90.00°, β = 90.00°, γ = 90.00°
Space group P4/mmm (No. 123)
Symmetry-distinct sites (fractional):
Ce1 0.000 0.000 0.000 x1
Ho1 0.000 0.000 0.500 x1
S1 0.000 0.500 0.251 x4

---

Q | CeHoS4 | PBE-GGA | optimized geometry

Calculated values
calculated density = 5.215 Mg/m³

a = 9.171 Å, b = 11.222 Å, c = 6.872 Å
α = 90.00°, β = 128.72°, γ = 90.00°
Space group C2/c (No. 15)
Symmetry-distinct sites (fractional):
Ce1 0.000 0.129 0.250 x4
Ho1 0.000 0.485 0.750 x4
S1 0.143 0.322 0.603 x8
S2 0.207 0.063 0.754 x8

---

Pick Q: it beats the second-best structure by 14.5 kJ/mol of atoms.

---

P | CeHo3S4 | PBE-GGA | optimized geometry

Calculated values
calculated density = 7.438 Mg/m³

a = 5.544 Å, b = 5.544 Å, c = 5.544 Å
α = 90.00°, β = 90.00°, γ = 90.00°
Space group Pm-3m (No. 221)
Symmetry-distinct sites (fractional):
Ce1 0.000 0.000 0.000 x1
Ho1 0.000 0.500 0.500 x3
S1 0.000 0.000 0.500 x3
S2 0.500 0.500 0.500 x1

---

Q | CeHo3S4 | PBE-GGA | optimized geometry

Calculated values
calculated density = 7.445 Mg/m³

a = 7.878 Å, b = 11.088 Å, c = 3.897 Å
α = 90.00°, β = 90.00°, γ = 90.00°
Space group Cmmm (No. 65)
Symmetry-distinct sites (fractional):
Ce1 0.000 0.000 0.000 x2
Ho1 0.000 0.500 0.000 x2
Ho2 0.250 0.250 0.500 x4
S1 0.000 0.254 0.000 x4
S2 0.241 0.500 0.500 x4

---

Pick Q: it beats the second-best structure by 1.4 kJ/mol of atoms.